(1)
# La4TbNd3Se8

A geometry-optimized La4TbNd3Se8 structure (PBE, Alexandria).

The structure in POSCAR format:
```
La4TbNd3Se8
1.0
4.259 2.459 6.940
-4.259 2.459 6.940
0.000 -4.918 6.940
La Tb Nd Se
4 1 3 8
direct
0.000 0.000 0.000
0.000 0.500 0.500
0.500 0.000 0.500
0.500 0.500 0.000
0.500 0.500 0.500
0.000 0.000 0.500
0.000 0.500 0.000
0.500 0.000 0.000
0.248 0.248 0.248
0.253 0.744 0.744
0.256 0.256 0.747
0.256 0.747 0.256
0.744 0.253 0.744
0.744 0.744 0.253
0.747 0.256 0.256
0.752 0.752 0.752
```

D(E_F)   10.4 states/eV/f.u.
Crystal system   trigonal
Calculated density   6.774 g/cm3
Formation energy without anion corrections   -1.9114 eV/atom
Total energy   -6.07 eV per atom
Symmetry   R-3m (166)

(2)
# BaFe2Pb

A geometry-optimized BaFe2Pb structure (PBE, Alexandria).

The structure in POSCAR format:
```
BaFe2Pb
1.0
4.154 0.000 0.000
-2.077 3.598 0.000
0.000 0.000 19.825
Ba Fe Pb
3 6 3
direct
0.000 0.000 0.000
0.333 0.667 0.667
0.667 0.333 0.333
0.000 0.000 0.212
0.000 0.000 0.544
0.333 0.667 0.211
0.333 0.667 0.879
0.667 0.333 0.546
0.667 0.333 0.878
0.000 0.000 0.808
0.333 0.667 0.474
0.667 0.333 0.141
```

D(E_F)   3.5 states/eV/f.u.
Energy relative to the lowest polymorph listed for this composition   0 meV per atom
Crystal system   trigonal
E_form   0.23 eV per atom
Calculated density   7.671 g/cm3
Total energy   -5.41 eV per atom
Symmetry   R3m (160)